DFT (GGA-PBE) results for an optimized crystal structure of Hg3PN.

POSCAR file:
```
Hg3PN
1.0
-1.621 5.185 3.509
-1.020 -3.605 -5.272
-5.867 -4.844 4.448
Hg P N
6 2 2
direct
0.080 0.920 0.250
0.372 0.628 0.072
0.628 0.372 0.928
0.372 0.628 0.428
0.920 0.080 0.750
0.628 0.372 0.572
0.753 0.247 0.250
0.247 0.753 0.750
0.000 0.000 0.500
0.000 0.000 0.000
```

Summary:
- Final energy: -2.08 eV per atom
- Symmetry: No. 63
- Volume: 194.4 Å³/cell


DFT (GGA-PBE) results for an optimized crystal structure of Sc4HgPbN2.

POSCAR file:
```
Sc4HgPbN2
1.0
3.302 0.000 0.000
-1.651 2.859 0.000
0.000 0.000 14.634
Sc Pb N Hg
4 1 2 1
direct
0.000 0.000 0.165
0.333 0.667 0.672
0.000 0.000 0.835
0.333 0.667 0.328
0.000 0.000 0.500
0.667 0.333 0.250
0.667 0.333 0.750
0.333 0.667 0.000
```

Summary:
- Final energy: -6.89 eV per atom
- Symmetry: No. 187
- Volume: 138.1 Å³/cell
- Magnetization: 0.14 Bohr magnetons per cell


DFT (GGA-PBE) results for an optimized crystal structure of Tm4HgPbN2.

POSCAR file:
```
Tm4HgPbN2
1.0
3.483 0.000 0.000
-1.741 3.016 0.000
0.000 0.000 15.180
Tm Pb N Hg
4 1 2 1
direct
0.333 0.667 0.841
0.000 0.000 0.669
0.000 0.000 0.331
0.333 0.667 0.159
0.333 0.667 0.500
0.667 0.333 0.750
0.667 0.333 0.250
0.000 0.000 0.000
```

Summary:
- Final energy: -5.90 eV per atom
- Symmetry: No. 187
- Volume: 159.5 Å³/cell
- Magnetization: 0.02 Bohr magnetons per cell


DFT (GGA-PBE) results for an optimized crystal structure of HgPt3N6.

POSCAR file:
```
HgPt3N6
1.0
-1.406 5.983 1.606
-2.309 -1.181 -5.799
-2.734 -0.989 1.290
N Hg Pt
6 1 3
direct
0.030 0.317 0.000
0.648 0.352 0.500
0.317 0.030 0.000
0.352 0.648 0.500
0.970 0.683 0.000
0.683 0.970 0.000
0.500 0.500 0.000
0.500 0.000 0.500
0.000 0.000 0.000
0.000 0.500 0.500
```

Summary:
- Final energy: -5.70 eV per atom
- Symmetry: No. 65
- Volume: 121.4 Å³/cell
- Magnetization: 0.30 Bohr magnetons per cell


DFT (GGA-PBE) results for an optimized crystal structure of Sc3HgN.

POSCAR file:
```
Sc3HgN
1.0
-1.554 3.172 5.196
-6.081 -1.128 -1.105
4.083 -4.765 0.319
Sc N Hg
6 2 2
direct
0.731 0.769 0.500
0.269 0.231 0.500
0.750 0.750 0.000
0.769 0.269 0.038
0.250 0.250 0.000
0.231 0.731 0.962
0.500 0.500 0.000
0.000 0.000 0.000
0.750 0.250 0.500
0.250 0.750 0.500
```

Summary:
- Final energy: -6.61 eV per atom
- Symmetry: No. 140
- Volume: 175.1 Å³/cell
- Magnetization: 0.00 Bohr magnetons per cell


DFT (GGA-PBE) results for an optimized crystal structure of Sc3HgN.

POSCAR file:
```
Sc3HgN
1.0
4.441 0.000 0.000
0.000 4.441 0.000
0.000 0.000 4.441
Hg Sc N
1 3 1
direct
0.500 0.500 0.500
0.000 0.000 0.500
0.500 0.000 0.000
0.000 0.500 0.000
0.000 0.000 0.000
```

Summary:
- Final energy: -6.61 eV per atom
- Symmetry: No. 221
- Volume: 87.6 Å³/cell
- Magnetization: 0.00 Bohr magnetons per cell


DFT (GGA-PBE) results for an optimized crystal structure of Tm4SnHgN2.

POSCAR file:
```
Tm4SnHgN2
1.0
-2.802 -0.165 -2.037
-0.124 -1.269 3.225
-4.519 13.464 5.126
Tm Hg N Sn
4 1 2 1
direct
0.000 0.000 0.165
0.333 0.667 0.338
0.333 0.667 0.662
0.000 0.000 0.835
0.000 0.000 0.500
0.667 0.333 0.752
0.667 0.333 0.248
0.333 0.667 0.000
```

Summary:
- Final energy: -5.98 eV per atom
- Symmetry: No. 187
- Volume: 157.3 Å³/cell
- Magnetization: 0.01 Bohr magnetons per cell


DFT (GGA-PBE) results for an optimized crystal structure of Zr4SnHgN2.

POSCAR file:
```
Zr4SnHgN2
1.0
-0.711 1.406 2.938
-0.619 -3.239 -0.491
13.378 -3.285 4.809
Hg Zr N Sn
1 4 2 1
direct
0.667 0.333 0.500
0.667 0.333 0.164
0.333 0.667 0.333
0.667 0.333 0.836
0.333 0.667 0.667
0.000 0.000 0.748
0.000 0.000 0.252
0.333 0.667 0.000
```

Summary:
- Final energy: -7.95 eV per atom
- Symmetry: No. 187
- Volume: 140.4 Å³/cell
- Magnetization: 0.00 Bohr magnetons per cell


DFT (GGA-PBE) results for an optimized crystal structure of Sr2HgN2.

POSCAR file:
```
Sr2HgN2
1.0
-1.933 1.933 6.813
1.933 -1.933 6.813
1.933 1.933 -6.813
N Hg Sr
2 1 2
direct
0.153 0.153 0.000
0.847 0.847 0.000
0.000 0.000 0.000
0.664 0.664 0.000
0.336 0.336 0.000
```

Summary:
- Final energy: -4.45 eV per atom
- Symmetry: No. 139
- Volume: 101.8 Å³/cell


DFT (GGA-PBE) results for an optimized crystal structure of Ta2Hg3N6.

POSCAR file:
```
Ta2Hg3N6
1.0
-8.003 2.552 7.571
-10.657 -0.101 3.779
9.803 -3.521 -4.401
Hg N Ta
3 6 2
direct
0.802 0.802 0.000
0.198 0.198 0.000
0.000 0.000 0.000
0.698 0.698 0.000
0.574 0.074 0.500
0.426 0.926 0.500
0.302 0.302 0.000
0.926 0.426 0.500
0.074 0.574 0.500
0.391 0.391 0.000
0.609 0.609 0.000
```

Summary:
- Final energy: -6.34 eV per atom
- Symmetry: No. 139
- Volume: 156.4 Å³/cell
- Magnetization: 0.00 Bohr magnetons per cell


DFT (GGA-PBE) results for an optimized crystal structure of Tb3HgN.

POSCAR file:
```
Tb3HgN
1.0
-1.509 -2.626 -3.749
1.478 -4.015 2.218
-4.332 -0.455 2.063
Tb Hg N
3 1 1
direct
0.000 0.500 0.500
0.500 0.500 0.000
0.500 0.000 0.500
0.000 0.000 0.000
0.500 0.500 0.500
```

Summary:
- Final energy: -5.41 eV per atom
- Symmetry: No. 221
- Volume: 111.9 Å³/cell
- Magnetization: 0.01 Bohr magnetons per cell


DFT (GGA-PBE) results for an optimized crystal structure of Tb2HgN.

POSCAR file:
```
Tb2HgN
1.0
3.740 0.000 0.000
-1.870 3.239 0.000
0.000 0.000 7.748
N Tb Hg
1 2 1
direct
0.333 0.667 0.423
0.333 0.667 0.702
0.667 0.333 0.318
0.000 0.000 0.000
```

Summary:
- Final energy: -5.38 eV per atom
- Symmetry: No. 156
- Volume: 93.9 Å³/cell
- Magnetization: 0.03 Bohr magnetons per cell